The following is a PBE-GGA calculation of a geometry-optimized Pm2Tl3Pb3 structure, from the Alexandria database.

Output
- E_tot (eV per cell) = -30.360
- N(E_F) (states/eV/cell) = 4.69

Cell and atoms, written as CIF:
```
data_Pm2Tl3Pb3
_chemical_formula_sum 'Pm2 Tl3 Pb3'
_cell_length_a 4.790
_cell_length_b 4.952
_cell_length_c 9.721
_cell_angle_alpha 90.00
_cell_angle_beta 90.00
_cell_angle_gamma 90.00
_space_group_name_H-M_alt 'P m m m'
_space_group_IT_number 47
loop_
_space_group_symop_operation_xyz
'x,y,z'
'-x,-y,-z'
'-x,-y,z'
'x,y,-z'
'x,-y,-z'
'-x,y,z'
'-x,y,-z'
'x,-y,z'
loop_
_atom_site_label
_atom_site_type_symbol
_atom_site_fract_x
_atom_site_fract_y
_atom_site_fract_z
_atom_site_occupancy
Pm1 Pm 0.000 0.000 0.250 1
Tl1 Tl 0.000 0.500 0.000 1
Tl2 Tl 0.500 0.500 0.247 1
Pb1 Pb 0.000 0.500 0.500 1
Pb2 Pb 0.500 0.000 0.000 1
Pb3 Pb 0.500 0.000 0.500 1
```